VASP calculation (PBE-GGA) on a geometry-optimized Pm7Sm3Dy structure.

Results
Density (Mg/m³): 6.85
DFT total energy (eV/atom): -4.548
ΔH_f (0 K) (meV/atom): 180
Symmetry: No. 15

a = 10.2724 Å, b = 10.2724 Å, c = 12.5538 Å
α = 113.75°, β = 113.75°, γ = 41.36°
Last column: nearest neighbours and their distance in Å.
Atoms (fractional coordinates):
Pm 0.0797 0.5840 0.9690  6 Pm 3.55-3.64, 4 Sm 3.56-3.65, 1 Dy 3.57
Pm 0.0817 0.5819 0.4697  7 Pm 3.54-3.64, 4 Sm 3.57-3.67, 1 Dy 3.58
Pm 0.2347 0.7653 0.7500  4 Sm 3.51-3.68, 4 Pm 3.56-3.61, 2 Dy 3.57
Pm 0.3359 0.3404 0.2239  4 Sm 3.52-3.66, 7 Pm 3.56-3.63
Pm 0.3404 0.3359 0.7239  4 Sm 3.52-3.66, 7 Pm 3.56-3.63
Pm 0.4160 0.9203 0.5310  6 Pm 3.55-3.64, 4 Sm 3.56-3.65, 1 Dy 3.57
Pm 0.4181 0.9183 0.0303  7 Pm 3.54-3.64, 4 Sm 3.57-3.67, 1 Dy 3.58
Pm 0.5819 0.0817 0.9697  7 Pm 3.54-3.64, 4 Sm 3.57-3.67, 1 Dy 3.58
Pm 0.5840 0.0797 0.4690  6 Pm 3.55-3.64, 4 Sm 3.56-3.65, 1 Dy 3.57
Pm 0.6596 0.6641 0.2761  4 Sm 3.52-3.66, 7 Pm 3.56-3.63
Pm 0.6641 0.6596 0.7761  4 Sm 3.52-3.66, 7 Pm 3.56-3.63
Pm 0.7653 0.2347 0.2500  4 Sm 3.51-3.68, 4 Pm 3.56-3.61, 2 Dy 3.57
Pm 0.9183 0.4181 0.5303  7 Pm 3.54-3.64, 4 Sm 3.57-3.67, 1 Dy 3.58
Pm 0.9203 0.4160 0.0310  6 Pm 3.55-3.64, 4 Sm 3.56-3.65, 1 Dy 3.57
Sm 0.1639 0.1681 0.7757  10 Pm 3.51-3.67, 1 Dy 3.56
Sm 0.1681 0.1639 0.2757  10 Pm 3.51-3.67, 1 Dy 3.56
Sm 0.5000 0.5000 0.0000  8 Pm 3.52-3.68, 2 Dy 3.63
Sm 0.5000 0.5000 0.5000  8 Pm 3.52-3.68, 2 Dy 3.63
Sm 0.8319 0.8361 0.7243  10 Pm 3.51-3.67, 1 Dy 3.56
Sm 0.8361 0.8319 0.2243  10 Pm 3.51-3.67, 1 Dy 3.56
Dy 0.0000 0.0000 0.0000  4 Sm 3.56-3.63, 6 Pm 3.57-3.58
Dy 0.0000 0.0000 0.5000  4 Sm 3.56-3.63, 6 Pm 3.57-3.58